Entry 1:
# PmYHoEr2, optimized geometry, DFT PBE-GGA
data_PmYHoEr2
_chemical_formula_sum 'Pm2 Y2 Ho2 Er4'
_space_group_name_H-M_alt 'P 1'
_space_group_IT_number 1
_space_group_name_Hall 'P 1'
_cell_length_a 7.179
_cell_length_b 8.338
_cell_length_c 7.082
_cell_angle_alpha 126.06
_cell_angle_beta 90.00
_cell_angle_gamma 90.00
loop_
_atom_site_label
_atom_site_fract_x
_atom_site_fract_y
_atom_site_fract_z
Er1 0.500 0.690 0.000
Er2 0.000 0.310 0.000
Y1 0.750 0.729 0.459
Ho1 0.750 0.011 0.021
Y2 0.250 0.271 0.541
Pm1 0.250 0.721 0.442
Pm2 0.750 0.279 0.558
Ho2 0.250 0.989 0.979
Er3 0.500 0.310 0.000
Er4 0.000 0.690 0.000
# Formation energy = 0.378 eV/atom
# Size of the total moment = 0.00 μB/atom
# Electronic total energy = -46.05 eV per cell
# Calculated volume = 34.3 Å³/atom
# Fermi-level density of states = 13.61 states/eV per cell



Entry 2:
# PmY2Ho2Er, optimized geometry, DFT PBE-GGA
data_PmY2Ho2Er
_chemical_formula_sum 'Pm2 Y4 Ho4 Er2'
_space_group_name_H-M_alt 'P 1'
_space_group_IT_number 1
_space_group_name_Hall 'P 1'
_cell_length_a 3.407
_cell_length_b 6.502
_cell_length_c 17.784
_cell_angle_alpha 90.00
_cell_angle_beta 90.00
_cell_angle_gamma 90.00
loop_
_atom_site_label
_atom_site_fract_x
_atom_site_fract_y
_atom_site_fract_z
Er1 0.000 0.000 0.500
Ho1 0.500 0.220 0.646
Y1 0.500 0.277 0.313
Y2 0.500 0.723 0.687
Y3 0.000 0.223 0.813
Ho2 0.500 0.780 0.354
Er2 0.500 0.500 0.000
Pm1 0.000 0.000 0.000
Y4 0.000 0.777 0.187
Ho3 0.000 0.280 0.146
Ho4 0.000 0.720 0.854
Pm2 0.500 0.500 0.500
# Formation energy = 0.269 eV/atom
# Size of the total moment = 0.00 μB/atom
# Electronic total energy = -59.57 eV per cell
# Calculated volume = 32.8 Å³/atom
# Fermi-level density of states = 19.88 states/eV per cell



Entry 3:
# Pm5Y2HoEr, optimized geometry, DFT PBE-GGA
data_Pm5Y2HoEr
_chemical_formula_sum 'Pm10 Y4 Ho2 Er2'
_space_group_name_H-M_alt 'P 1'
_space_group_IT_number 1
_space_group_name_Hall 'P 1'
_cell_length_a 5.655
_cell_length_b 10.535
_cell_length_c 10.667
_cell_angle_alpha 90.00
_cell_angle_beta 90.00
_cell_angle_gamma 105.57
loop_
_atom_site_label
_atom_site_fract_x
_atom_site_fract_y
_atom_site_fract_z
Pm1 0.518 0.036 0.244
Pm2 0.298 0.595 0.706
Er1 0.409 0.818 0.463
Y1 0.112 0.223 0.737
Y2 0.888 0.777 0.237
Pm3 0.719 0.438 0.811
Pm4 0.482 0.964 0.744
Er2 0.591 0.182 0.963
Pm5 0.388 0.776 0.022
Pm6 0.982 0.965 0.519
Pm7 0.018 0.035 0.019
Y3 0.115 0.230 0.314
Pm8 0.612 0.224 0.522
Ho1 0.200 0.400 0.010
Pm9 0.702 0.405 0.206
Ho2 0.800 0.600 0.510
Pm10 0.281 0.562 0.311
Y4 0.885 0.770 0.814
# Formation energy = 0.142 eV/atom
# Size of the total moment = 0.00 μB/atom
# Electronic total energy = -89.09 eV per cell
# Calculated volume = 34.0 Å³/atom
# Fermi-level density of states = 29.45 states/eV per cell



Entry 4:
# PmYHo2Er2, optimized geometry, DFT PBE-GGA
data_PmYHo2Er2
_chemical_formula_sum 'Pm2 Y2 Ho4 Er4'
_space_group_name_H-M_alt 'P 1'
_space_group_IT_number 1
_space_group_name_Hall 'P 1'
_cell_length_a 5.603
_cell_length_b 9.732
_cell_length_c 6.930
_cell_angle_alpha 90.00
_cell_angle_beta 90.00
_cell_angle_gamma 90.00
loop_
_atom_site_label
_atom_site_fract_x
_atom_site_fract_y
_atom_site_fract_z
Er1 0.500 0.834 0.749
Er2 0.500 0.166 0.251
Er3 0.000 0.666 0.249
Er4 0.000 0.334 0.751
Ho1 0.000 0.667 0.751
Y1 0.000 0.000 0.500
Ho2 0.000 0.333 0.249
Ho3 0.500 0.833 0.251
Ho4 0.500 0.167 0.749
Y2 0.500 0.500 0.000
Pm1 0.000 0.000 0.000
Pm2 0.500 0.500 0.500
# Formation energy = 0.072 eV/atom
# Size of the total moment = 0.00 μB/atom
# Electronic total energy = -58.13 eV per cell
# Calculated volume = 31.5 Å³/atom
# Fermi-level density of states = 20.10 states/eV per cell



Entry 5:
# Pm2Y4HoEr2, optimized geometry, DFT PBE-GGA
data_Pm2Y4HoEr2
_chemical_formula_sum 'Pm2 Y4 Ho1 Er2'
_space_group_name_H-M_alt 'P 1'
_space_group_IT_number 1
_space_group_name_Hall 'P 1'
_cell_length_a 3.604
_cell_length_b 9.522
_cell_length_c 9.572
_cell_angle_alpha 115.28
_cell_angle_beta 90.00
_cell_angle_gamma 100.91
loop_
_atom_site_label
_atom_site_fract_x
_atom_site_fract_y
_atom_site_fract_z
Y1 0.519 0.037 0.331
Pm1 0.148 0.297 0.667
Y2 0.815 0.630 0.668
Pm2 0.852 0.703 0.333
Y3 0.481 0.963 0.669
Y4 0.185 0.370 0.332
Ho1 0.000 0.000 0.000
Er1 0.334 0.667 0.999
Er2 0.666 0.333 0.001
# Formation energy = 0.009 eV/atom
# Size of the total moment = 0.00 μB/atom
# Electronic total energy = -48.98 eV per cell
# Calculated volume = 32.3 Å³/atom
# Fermi-level density of states = 12.63 states/eV per cell



Entry 6:
# PmY2Ho6Er3, optimized geometry, DFT PBE-GGA
data_PmY2Ho6Er3
_chemical_formula_sum 'Pm1 Y2 Ho6 Er3'
_space_group_name_H-M_alt 'P 1'
_space_group_IT_number 1
_space_group_name_Hall 'P 1'
_cell_length_a 6.148
_cell_length_b 6.148
_cell_length_c 11.553
_cell_angle_alpha 95.10
_cell_angle_beta 95.10
_cell_angle_gamma 120.00
loop_
_atom_site_label
_atom_site_fract_x
_atom_site_fract_y
_atom_site_fract_z
Ho1 0.582 0.915 0.747
Er1 0.833 0.167 0.500
Er2 0.500 0.500 0.500
Ho2 0.752 0.752 0.253
Ho3 0.248 0.248 0.747
Ho4 0.915 0.582 0.747
Er3 0.167 0.833 0.500
Y1 0.333 0.667 0.000
Ho5 0.418 0.085 0.253
Pm1 0.000 0.000 0.000
Y2 0.667 0.333 0.000
Ho6 0.085 0.418 0.253
# Formation energy = 0.023 eV/atom
# Size of the total moment = 0.00 μB/atom
# Electronic total energy = -58.56 eV per cell
# Calculated volume = 31.0 Å³/atom
# Fermi-level density of states = 16.17 states/eV per cell



Entry 7:
# Pm2Y6HoEr, optimized geometry, DFT PBE-GGA
data_Pm2Y6HoEr
_chemical_formula_sum 'Pm4 Y12 Ho2 Er2'
_space_group_name_H-M_alt 'P 1'
_space_group_IT_number 1
_space_group_name_Hall 'P 1'
_cell_length_a 9.742
_cell_length_b 8.779
_cell_length_c 8.779
_cell_angle_alpha 117.79
_cell_angle_beta 94.91
_cell_angle_gamma 94.91
loop_
_atom_site_label
_atom_site_fract_x
_atom_site_fract_y
_atom_site_fract_z
Y1 0.882 0.293 0.502
Y2 0.382 0.502 0.293
Y3 0.686 0.019 0.575
Y4 0.314 0.981 0.425
Y5 0.618 0.498 0.707
Ho1 0.250 0.981 0.019
Y6 0.186 0.575 0.019
Y7 0.557 0.748 0.124
Y8 0.814 0.425 0.981
Y9 0.943 0.876 0.252
Pm1 0.956 0.705 0.806
Pm2 0.456 0.806 0.705
Y10 0.118 0.707 0.498
Y11 0.443 0.252 0.876
Er1 0.750 0.593 0.407
Pm3 0.044 0.295 0.194
Er2 0.250 0.407 0.593
Ho2 0.750 0.019 0.981
Y12 0.057 0.124 0.748
Pm4 0.544 0.194 0.295
# Formation energy = 0.113 eV/atom
# Size of the total moment = 0.00 μB/atom
# Electronic total energy = -112.60 eV per cell
# Calculated volume = 32.8 Å³/atom
# Fermi-level density of states = 28.65 states/eV per cell



Entry 8:
# PmY2HoEr, optimized geometry, DFT PBE-GGA
data_PmY2HoEr
_chemical_formula_sum 'Pm2 Y4 Ho2 Er2'
_space_group_name_H-M_alt 'P 1'
_space_group_IT_number 1
_space_group_name_Hall 'P 1'
_cell_length_a 7.222
_cell_length_b 8.403
_cell_length_c 7.097
_cell_angle_alpha 126.30
_cell_angle_beta 90.00
_cell_angle_gamma 90.00
loop_
_atom_site_label
_atom_site_fract_x
_atom_site_fract_y
_atom_site_fract_z
Ho1 0.250 0.998 0.995
Ho2 0.750 0.002 0.005
Pm1 0.250 0.728 0.457
Pm2 0.750 0.272 0.543
Y1 0.500 0.691 0.000
Y2 0.500 0.309 0.000
Y3 0.000 0.691 0.000
Er1 0.250 0.275 0.550
Y4 0.000 0.309 0.000
Er2 0.750 0.725 0.450
# Formation energy = 0.393 eV/atom
# Size of the total moment = 0.00 μB/atom
# Electronic total energy = -49.71 eV per cell
# Calculated volume = 34.7 Å³/atom
# Fermi-level density of states = 13.80 states/eV per cell



Entry 9:
# PmY2Ho5Er, optimized geometry, DFT PBE-GGA
data_PmY2Ho5Er
_chemical_formula_sum 'Pm2 Y4 Ho10 Er2'
_space_group_name_H-M_alt 'P 1'
_space_group_IT_number 1
_space_group_name_Hall 'P 1'
_cell_length_a 5.604
_cell_length_b 10.238
_cell_length_c 10.564
_cell_angle_alpha 90.00
_cell_angle_beta 90.00
_cell_angle_gamma 105.88
loop_
_atom_site_label
_atom_site_fract_x
_atom_site_fract_y
_atom_site_fract_z
Ho1 0.702 0.403 0.208
Y1 0.889 0.779 0.235
Er1 0.799 0.598 0.511
Ho2 0.282 0.565 0.311
Ho3 0.298 0.597 0.708
Ho4 0.521 0.041 0.238
Y2 0.887 0.773 0.819
Y3 0.111 0.221 0.735
Er2 0.201 0.402 0.011
Ho5 0.019 0.039 0.025
Ho6 0.981 0.961 0.525
Ho7 0.611 0.223 0.522
Pm1 0.416 0.832 0.455
Y4 0.113 0.227 0.319
Ho8 0.479 0.959 0.738
Ho9 0.718 0.435 0.811
Ho10 0.389 0.777 0.022
Pm2 0.584 0.168 0.955
# Formation energy = 0.156 eV/atom
# Size of the total moment = 0.00 μB/atom
# Electronic total energy = -87.45 eV per cell
# Calculated volume = 32.4 Å³/atom
# Fermi-level density of states = 29.53 states/eV per cell



Entry 10:
# Pm2Y5HoEr, optimized geometry, DFT PBE-GGA
data_Pm2Y5HoEr
_chemical_formula_sum 'Pm4 Y10 Ho2 Er2'
_space_group_name_H-M_alt 'P 1'
_space_group_IT_number 1
_space_group_name_Hall 'P 1'
_cell_length_a 8.632
_cell_length_b 8.632
_cell_length_c 9.951
_cell_angle_alpha 115.70
_cell_angle_beta 115.70
_cell_angle_gamma 90.00
loop_
_atom_site_label
_atom_site_fract_x
_atom_site_fract_y
_atom_site_fract_z
Y1 0.572 0.650 0.721
Y2 0.428 0.350 0.279
Y3 0.650 0.150 0.721
Pm1 0.883 0.617 0.000
Pm2 0.383 0.883 0.000
Y4 0.150 0.072 0.721
Y5 0.072 0.572 0.721
Er1 0.750 0.250 0.500
Y6 0.850 0.928 0.279
Ho1 0.750 0.750 0.500
Pm3 0.117 0.383 0.000
Y7 0.500 0.500 0.000
Pm4 0.617 0.117 0.000
Y8 0.928 0.428 0.279
Y9 0.000 0.000 0.000
Er2 0.250 0.750 0.500
Ho2 0.250 0.250 0.500
Y10 0.350 0.850 0.279
# Formation energy = 0.265 eV/atom
# Size of the total moment = 0.00 μB/atom
# Electronic total energy = -97.16 eV per cell
# Calculated volume = 32.5 Å³/atom
# Fermi-level density of states = 24.46 states/eV per cell



Entry 11:
# PmYHo2Er6, optimized geometry, DFT PBE-GGA
data_PmYHo2Er6
_chemical_formula_sum 'Pm2 Y2 Ho4 Er12'
_space_group_name_H-M_alt 'P 1'
_space_group_IT_number 1
_space_group_name_Hall 'P 1'
_cell_length_a 9.486
_cell_length_b 8.734
_cell_length_c 8.734
_cell_angle_alpha 117.98
_cell_angle_beta 93.72
_cell_angle_gamma 93.72
loop_
_atom_site_label
_atom_site_fract_x
_atom_site_fract_y
_atom_site_fract_z
Er1 0.682 0.021 0.568
Er2 0.943 0.876 0.250
Er3 0.443 0.250 0.876
Er4 0.818 0.432 0.979
Ho1 0.545 0.197 0.304
Y1 0.750 0.591 0.409
Y2 0.250 0.409 0.591
Er5 0.318 0.979 0.432
Pm1 0.750 0.025 0.975
Ho2 0.455 0.803 0.696
Pm2 0.250 0.975 0.025
Er6 0.381 0.508 0.291
Er7 0.881 0.291 0.508
Er8 0.619 0.492 0.709
Er9 0.182 0.568 0.021
Er10 0.119 0.709 0.492
Ho3 0.955 0.696 0.803
Er11 0.057 0.124 0.750
Ho4 0.045 0.304 0.197
Er12 0.557 0.750 0.124
# Formation energy = 0.120 eV/atom
# Size of the total moment = 0.00 μB/atom
# Electronic total energy = -93.09 eV per cell
# Calculated volume = 31.7 Å³/atom
# Fermi-level density of states = 29.26 states/eV per cell



Entry 12:
# PmY5Ho2Er, optimized geometry, DFT PBE-GGA
data_PmY5Ho2Er
_chemical_formula_sum 'Pm2 Y10 Ho4 Er2'
_space_group_name_H-M_alt 'P 1'
_space_group_IT_number 1
_space_group_name_Hall 'P 1'
_cell_length_a 5.619
_cell_length_b 10.471
_cell_length_c 10.482
_cell_angle_alpha 90.00
_cell_angle_beta 90.00
_cell_angle_gamma 105.56
loop_
_atom_site_label
_atom_site_fract_x
_atom_site_fract_y
_atom_site_fract_z
Y1 0.479 0.957 0.738
Y2 0.698 0.397 0.205
Ho1 0.888 0.775 0.819
Pm1 0.804 0.607 0.514
Er1 0.412 0.824 0.451
Y3 0.016 0.032 0.022
Y4 0.521 0.043 0.238
Y5 0.388 0.777 0.025
Y6 0.612 0.223 0.525
Y7 0.722 0.445 0.815
Y8 0.302 0.603 0.705
Y9 0.278 0.555 0.315
Ho2 0.889 0.778 0.236
Pm2 0.196 0.393 0.014
Y10 0.984 0.968 0.522
Ho3 0.111 0.222 0.736
Ho4 0.112 0.225 0.319
Er2 0.588 0.176 0.951
# Formation energy = 0.155 eV/atom
# Size of the total moment = 0.00 μB/atom
# Electronic total energy = -98.79 eV per cell
# Calculated volume = 33.0 Å³/atom
# Fermi-level density of states = 31.06 states/eV per cell